Record 1
The following is a PBE calculation of a geometry-optimized Co2Mo structure, from the Alexandria database.

a = 3.464 Å, b = 3.464 Å, c = 3.492 Å
α = 90.00°, β = 90.00°, γ = 90.00°
Element x y z (fractional)
Co  0.000  0.500  0.000
Co  0.500  0.000  0.000
Mo  0.000  0.000  0.500

Properties
ΔE_f: 65.9 kJ per mole of atoms

---

Record 2
The following is a PBE calculation of a geometry-optimized Ce3Ga4 structure, from the Alexandria database.

a = 9.864 Å, b = 9.864 Å, c = 9.864 Å
α = 155.54°, β = 154.93°, γ = 35.31°
Element x y z (fractional)
Ce  0.000  0.000  0.000
Ce  0.188  0.688  0.500
Ce  0.812  0.312  0.500
Ga  0.358  0.858  0.500
Ga  0.434  0.434  0.000
Ga  0.566  0.566  0.000
Ga  0.642  0.142  0.500

Properties
E above lowest polymorph: 0.0000 eV per atom
ΔE_f: -49.6 kJ per mole of atoms

---

Record 3
The following is a PBE calculation of a geometry-optimized Tb2YErTm5 structure, from the Alexandria database.

a = 9.637 Å, b = 9.637 Å, c = 9.637 Å
α = 126.20°, β = 126.20°, γ = 79.55°
Element x y z (fractional)
Tb  0.115  0.615  0.729
Tb  0.385  0.115  0.500
Tb  0.615  0.885  0.500
Tb  0.885  0.385  0.271
Y  0.250  0.250  0.000
Y  0.750  0.750  0.000
Er  0.250  0.750  0.500
Er  0.750  0.250  0.500
Tm  0.000  0.000  0.000
Tm  0.072  0.158  0.500
Tm  0.158  0.658  0.087
Tm  0.342  0.428  0.500
Tm  0.428  0.928  0.087
Tm  0.500  0.500  0.000
Tm  0.572  0.072  0.913
Tm  0.658  0.572  0.500
Tm  0.842  0.342  0.913
Tm  0.928  0.842  0.500

Properties
ΔE_f: 28.5 kJ per mole of atoms

---

Record 4
The following is a PBE calculation of a geometry-optimized Li4GaI5 structure, from the Alexandria database.

a = 4.603 Å, b = 4.603 Å, c = 39.708 Å
α = 90.00°, β = 90.00°, γ = 120.00°
Element x y z (fractional)
Li  0.000  0.000  0.000
Li  0.000  0.000  0.185
Li  0.000  0.000  0.370
Li  0.000  0.000  0.555
Li  0.000  0.000  0.778
Li  0.667  0.333  0.092
Li  0.667  0.333  0.278
Li  0.667  0.333  0.463
Ga  0.667  0.333  0.664
Ga  0.667  0.333  0.886
I  0.000  0.000  0.114
I  0.000  0.000  0.299
I  0.000  0.000  0.484
I  0.000  0.000  0.707
I  0.000  0.000  0.928
I  0.667  0.333  0.021
I  0.667  0.333  0.206
I  0.667  0.333  0.392
I  0.667  0.333  0.578
I  0.667  0.333  0.800

Properties
ΔE_f (raw): -1.016 eV per atom

---

Record 5
The following is a PBE calculation of a geometry-optimized ZnCdIn2 structure, from the Alexandria database.

a = 10.600 Å, b = 10.600 Å, c = 10.600 Å
α = 156.01°, β = 156.01°, γ = 34.19°
Element x y z (fractional)
Zn  0.000  0.000  0.000
Zn  0.750  0.250  0.500
Cd  0.250  0.750  0.500
Cd  0.500  0.500  0.000
In  0.116  0.625  0.991
In  0.375  0.366  0.491
In  0.634  0.125  0.009
In  0.875  0.884  0.509

Properties
E above lowest polymorph: 0.0666 eV per atom
ΔE_f: 11.9 kJ per mole of atoms

---

Record 6
The following is a PBE calculation of a geometry-optimized SrYLu structure, from the Alexandria database.

a = 8.363 Å, b = 8.363 Å, c = 8.363 Å
α = 154.29°, β = 154.29°, γ = 36.68°
Element x y z (fractional)
Sr  0.000  0.000  0.000
Y  0.316  0.316  0.000
Lu  0.679  0.679  0.000

Properties
ΔE_f: 15.2 kJ per mole of atoms

---

Record 7
The following is a PBE calculation of a geometry-optimized Gd2AuS structure, from the Alexandria database.

a = 7.546 Å, b = 7.546 Å, c = 7.546 Å
α = 30.54°, β = 30.54°, γ = 30.54°
Element x y z (fractional)
Gd  0.244  0.244  0.244
Gd  0.756  0.756  0.756
Au  0.000  0.000  0.000
S  0.500  0.500  0.500

Properties
ΔE_f (raw): -1.355 eV per atom

---

Record 8
The following is a PBE calculation of a geometry-optimized Na6In2Ag structure, from the Alexandria database.

a = 10.865 Å, b = 10.865 Å, c = 10.865 Å
α = 29.20°, β = 29.20°, γ = 29.20°
Element x y z (fractional)
Na  0.077  0.077  0.077
Na  0.196  0.196  0.196
Na  0.308  0.308  0.308
Na  0.692  0.692  0.692
Na  0.804  0.804  0.804
Na  0.923  0.923  0.923
In  0.412  0.412  0.412
In  0.588  0.588  0.588
Ag  0.500  0.500  0.500

Properties
ΔE_f: -4.5 kJ per mole of atoms